Here is an optimized crystal structure of HfGe from the Open Quantum Materials Database. Energies are from GGA-PBE.

Computed properties:
SG   P-6m2 (187)
E   -7.666 eV per atom

a = 3.173 Å, b = 3.173 Å, c = 4.402 Å
α = 90.00°, β = 90.00°, γ = 120.00°
Element x y z (fractional)
1 Ge 0.667 0.333 0.750
2 Hf 0.333 0.667 0.250



Here is an optimized crystal structure of Hf2Ge from the Open Quantum Materials Database. Energies are from GGA-PBE.

Computed properties:
SG   Fd-3m (227)
E   -7.772 eV per atom

a = 5.677 Å, b = 5.677 Å, c = 5.677 Å
α = 60.00°, β = 60.00°, γ = 60.00°
Element x y z (fractional)
1 Ge 0.250 0.250 0.250
2 Ge 0.000 0.000 0.000
3 Hf 0.625 0.625 0.125
4 Hf 0.625 0.125 0.625
5 Hf 0.125 0.625 0.625
6 Hf 0.625 0.625 0.625



Here is an optimized crystal structure of HfGe from the Open Quantum Materials Database. Energies are from GGA-PBE.

Computed properties:
SG   P6_3/mmc (194)
E   -7.772 eV per atom

a = 3.840 Å, b = 3.840 Å, c = 6.502 Å
α = 90.00°, β = 90.00°, γ = 120.00°
Element x y z (fractional)
1 Hf 0.000 0.000 0.000
2 Hf 0.000 0.000 0.500
3 Ge 0.667 0.333 0.750
4 Ge 0.333 0.667 0.250



Here is an optimized crystal structure of HfGe from the Open Quantum Materials Database. Energies are from GGA-PBE.

Computed properties:
SG   F-43m (216)
E   -6.939 eV per atom

a = 4.304 Å, b = 4.304 Å, c = 4.304 Å
α = 60.00°, β = 60.00°, γ = 60.00°
Element x y z (fractional)
1 Ge 0.000 0.000 0.000
2 Hf 0.250 0.250 0.250



Here is an optimized crystal structure of Hf3Ge from the Open Quantum Materials Database. Energies are from GGA-PBE.

Computed properties:
SG   P4_2/n (86)
E   -9.095 eV per atom

a = 10.965 Å, b = 10.965 Å, c = 5.421 Å
α = 90.00°, β = 90.00°, γ = 90.00°
Element x y z (fractional)
1 Ge 0.459 0.704 0.215
2 Ge 0.541 0.296 0.215
3 Ge 0.796 0.959 0.715
4 Ge 0.041 0.796 0.285
5 Ge 0.704 0.541 0.785
6 Ge 0.204 0.041 0.715
7 Ge 0.959 0.204 0.285
8 Ge 0.296 0.459 0.785
9 Hf 0.641 0.527 0.278
10 Hf 0.918 0.607 0.025
11 Hf 0.859 0.973 0.222
12 Hf 0.319 0.216 0.996
13 Hf 0.082 0.393 0.025
14 Hf 0.181 0.284 0.504
15 Hf 0.784 0.319 0.004
16 Hf 0.973 0.141 0.778
17 Hf 0.582 0.893 0.475
18 Hf 0.107 0.582 0.525
19 Hf 0.141 0.027 0.222
20 Hf 0.284 0.819 0.496
21 Hf 0.359 0.473 0.278
22 Hf 0.418 0.107 0.475
23 Hf 0.681 0.784 0.996
24 Hf 0.893 0.418 0.525
25 Hf 0.716 0.181 0.496
26 Hf 0.216 0.681 0.004
27 Hf 0.473 0.641 0.722
28 Hf 0.607 0.082 0.975
29 Hf 0.393 0.918 0.975
30 Hf 0.027 0.859 0.778
31 Hf 0.819 0.716 0.504
32 Hf 0.527 0.359 0.722



Here is an optimized crystal structure of HfGe from the Open Quantum Materials Database. Energies are from GGA-PBE.

Computed properties:
SG   P6_3/mmc (194)
E   -7.875 eV per atom

a = 4.039 Å, b = 4.039 Å, c = 5.632 Å
α = 90.00°, β = 90.00°, γ = 120.00°
Element x y z (fractional)
1 Ge 0.000 0.000 0.000
2 Ge 0.000 0.000 0.500
3 Hf 0.667 0.333 0.250
4 Hf 0.333 0.667 0.750



Among the records above, which one has the lowest E? Hf3Ge



Look up the E of the sixth one. -7.875 eV per atom